Record 1
# CoHg2Au | the Alexandria database | PBE | optimized geometry
data_CoHg2Au
_chemical_formula_sum 'Co3 Hg6 Au3'
_cell_length_a 3.0341
_cell_length_b 3.0341
_cell_length_c 27.5847
_cell_angle_alpha 90.00
_cell_angle_beta 90.00
_cell_angle_gamma 120.00
_symmetry_space_group_name_H-M 'R -3 m'
_symmetry_Int_Tables_number 166
_symmetry_space_group_name_Hall '-R 3 2"'
loop_
_atom_site_label
_atom_site_type_symbol
_atom_site_fract_x
_atom_site_fract_y
_atom_site_fract_z
Co1 Co 0.0000 0.0000 0.0000
Hg1 Hg 0.0000 0.0000 0.2571
Au1 Au 0.0000 0.0000 0.5000
# Total magnetization ... 4.1 Bohr magnetons per cell
# ΔE to the lowest computed polymorph ... 69 meV/atom
# Calculated density ... 14.9 g cm⁻³
# Energy of formation from the pure elements ... 0.339 eV/atom
# E_tot ... -0.0885 Ha/atom


Record 2
# CoHgAu2 | the Alexandria database | PBE | optimized geometry
data_CoHgAu2
_chemical_formula_sum 'Co1 Hg1 Au2'
_cell_length_a 4.078
_cell_length_b 4.078
_cell_length_c 4.172
_cell_angle_alpha 90.00
_cell_angle_beta 90.00
_cell_angle_gamma 90.00
_symmetry_space_group_name_H-M 'P 4/m m m'
_symmetry_Int_Tables_number 123
_symmetry_space_group_name_Hall '-P 4 2'
loop_
_atom_site_label
_atom_site_type_symbol
_atom_site_fract_x
_atom_site_fract_y
_atom_site_fract_z
Co1 Co 0.000 0.000 0.000
Hg1 Hg 0.500 0.500 0.000
Au1 Au 0.000 0.500 0.500
# Total magnetization ... 1.5 Bohr magnetons per cell
# Calculated density ... 15.6 g cm⁻³
# Energy of formation from the pure elements ... 0.284 eV/atom
# E_tot ... -0.1179 Ha/atom


Record 3
# CoHg2Au | the Alexandria database | PBE | optimized geometry
data_CoHg2Au
_chemical_formula_sum 'Co1 Hg2 Au1'
_cell_length_a 3.023
_cell_length_b 2.969
_cell_length_c 8.040
_cell_angle_alpha 90.00
_cell_angle_beta 90.49
_cell_angle_gamma 90.00
_symmetry_space_group_name_H-M 'P 1 2/m 1'
_symmetry_Int_Tables_number 10
_symmetry_space_group_name_Hall '-P 2y'
loop_
_atom_site_label
_atom_site_type_symbol
_atom_site_fract_x
_atom_site_fract_y
_atom_site_fract_z
Co1 Co 0.000 0.000 0.000
Hg1 Hg 0.497 0.500 0.777
Au1 Au 0.000 0.000 0.500
# Total magnetization ... 1.5 Bohr magnetons per cell
# ΔE to the lowest computed polymorph ... 58 meV/atom
# Calculated density ... 15.1 g cm⁻³
# Energy of formation from the pure elements ... 0.328 eV/atom
# E_tot ... -0.0889 Ha/atom